GGA-PBE K2Zn2HgO4, relaxed; total magnetic moment = 0.0 μB/f.u.; formation energy without anion corrections = -108 kJ per mole of atoms; final energy = -3.88 eV/atom; space-group type = C2/m, No. 12
1.0
7.270 -1.716 0.000
7.270 1.716 0.000
-1.591 0.000 5.977
K Zn Hg O
2 2 1 4
Direct
0.129 0.129 0.038
0.871 0.871 0.962
0.323 0.323 0.483
0.677 0.677 0.517
0.000 0.000 0.500
0.222 0.222 0.682
0.450 0.450 0.700
0.550 0.550 0.300
0.778 0.778 0.318

***

GGA-PBE CsLi2I2Cl, relaxed; total magnetic moment = 0.0 μB/f.u.; formation energy without anion corrections = -146 kJ per mole of atoms; final energy = -3.12 eV/atom; space-group type = P2_1/m, No. 11
1.0
8.675 0.000 0.000
0.000 6.293 0.000
-2.113 0.000 8.450
Cs Li I Cl
2 4 4 2
Direct
0.177 0.250 0.323
0.823 0.750 0.677
0.358 0.000 0.859
0.358 0.500 0.859
0.642 0.000 0.141
0.642 0.500 0.141
0.097 0.250 0.843
0.340 0.750 0.599
0.660 0.250 0.401
0.903 0.750 0.157
0.426 0.750 0.074
0.574 0.250 0.926

***

GGA-PBE Pu6Mn2Rh, relaxed; total magnetic moment = 0.0 μB/f.u.; calculated formation energy = 14 kJ per mole of atoms; final energy = -12.26 eV/atom; space-group type = P-3, No. 147
1.0
7.647 0.000 0.000
-3.824 6.623 0.000
0.000 0.000 2.708
Pu Mn Rh
6 2 1
Direct
0.014 0.662 0.086
0.338 0.352 0.086
0.352 0.014 0.914
0.648 0.986 0.086
0.662 0.648 0.914
0.986 0.338 0.914
0.333 0.667 0.395
0.667 0.333 0.605
0.000 0.000 0.500

***

GGA-PBE NbTe3Rh, relaxed; energy above the lowest structure with this stoichiometry = 1010 meV/atom; total magnetic moment = 0.0 μB/f.u.; formation energy without anion corrections = 76 kJ per mole of atoms; final energy = -4.58 eV/atom; space-group type = Pm-3m, No. 221
1.0
5.334 0.000 0.000
0.000 5.334 0.000
0.000 0.000 5.334
Nb Te Rh
1 3 1
Direct
0.000 0.000 0.000
0.000 0.000 0.500
0.000 0.500 0.000
0.500 0.000 0.000
0.500 0.500 0.500

***

GGA-PBE Tl2PtCl, relaxed; energy above the lowest structure with this stoichiometry = 466 meV/atom; total magnetic moment = 0.0 μB/f.u.; formation energy without anion corrections = 13 kJ per mole of atoms; final energy = -3.02 eV/atom; space-group type = F-43m, No. 216
1.0
0.000 3.633 3.633
3.633 0.000 3.633
3.633 3.633 0.000
Tl Pt Cl
2 1 1
Direct
0.000 0.000 0.000
0.250 0.250 0.250
0.750 0.750 0.750
0.500 0.500 0.500

***

GGA-PBE AcLa12Dy3, relaxed; total magnetic moment = 0.0 μB/f.u.; calculated formation energy = 1 kJ per mole of atoms; final energy = -4.80 eV/atom; space-group type = P4/mmm, No. 123
1.0
5.245 0.000 0.000
0.000 5.245 0.000
0.000 0.000 21.020
Ac La Dy
1 12 3
Direct
0.000 0.000 0.000
0.000 0.500 0.131
0.000 0.500 0.377
0.000 0.500 0.623
0.000 0.500 0.869
0.500 0.000 0.131
0.500 0.000 0.377
0.500 0.000 0.623
0.500 0.000 0.869
0.500 0.500 0.000
0.500 0.500 0.255
0.500 0.500 0.500
0.500 0.500 0.745
0.000 0.000 0.254
0.000 0.000 0.500
0.000 0.000 0.746